No. 1
{"formula": "Mg4In3Hg2", "functional": "PBE", "state": "optimized geometry", "cell": [[4.936, 0.000, 0.000], [-2.468, 4.274, 0.000], [0.000, 0.000, 9.973]], "species": ["Mg", "Mg", "Mg", "Mg", "In", "In", "In", "Hg", "Hg"], "frac_coords": [[0.000, 0.000, 0.179], [0.000, 0.000, 0.821], [0.333, 0.667, 0.623], [0.667, 0.333, 0.377], [0.000, 0.000, 0.500], [0.333, 0.667, 0.947], [0.667, 0.333, 0.053], [0.333, 0.667, 0.299], [0.667, 0.333, 0.701]], "spacegroup": "P-3m1, No. 164", "mass_density_g_cm3": 6.65, "dos_at_fermi_per_ev_fu": 2.55, "formation_energy_ev_per_atom": -0.1089}

---

No. 2
{"formula": "PmY5ErSc2", "functional": "PBE", "state": "optimized geometry", "cell": [[2.812, -10.735, 0.000], [2.812, 10.735, 0.000], [0.000, 0.000, 9.368]], "species": ["Pm", "Pm", "Y", "Y", "Y", "Y", "Y", "Y", "Y", "Y", "Y", "Y", "Er", "Er", "Sc", "Sc", "Sc", "Sc"], "frac_coords": [[0.184, 0.816, 0.500], [0.816, 0.184, 0.000], [0.010, 0.990, 0.504], [0.264, 0.736, 0.182], [0.307, 0.693, 0.802], [0.389, 0.611, 0.472], [0.469, 0.531, 0.770], [0.531, 0.469, 0.270], [0.611, 0.389, 0.972], [0.693, 0.307, 0.302], [0.736, 0.264, 0.682], [0.990, 0.010, 0.004], [0.402, 0.598, 0.099], [0.598, 0.402, 0.599], [0.113, 0.887, 0.194], [0.135, 0.865, 0.816], [0.865, 0.135, 0.316], [0.887, 0.113, 0.694]], "spacegroup": "Cmc2_1, No. 36", "mass_density_g_cm3": 4.97, "dos_at_fermi_per_ev_fu": 14.30, "formation_energy_ev_per_atom": 0.1665}